Entry 1:
The following is a PBE calculation of a relaxed structure of SbClF2, from Alexandria via LeMat-Bulk.

Cell lengths 3.1972, 3.1972, 29.8804 Å; angles 90.00, 90.00, 120.00 degrees
Space group R-3m (No. 166, hexagonal axes)
Inequivalent atoms, fractional coordinates:
Sb: 0.0000 0.0000 0.0000
Cl: 0.0000 0.0000 0.5000
F: 0.0000 0.0000 0.3863

## Properties
Its total magnetic moment is 0.9 μB per formula unit. The value obtained for the energy above the most stable polymorph in this dataset is 996 meV per atom. The calculation puts the energy at -3.27 eV/atom. The uncorrected formation energy is -0.84 eV/atom.

***

Entry 2:
The following is a PBE calculation of a relaxed structure of BaTcBrCl6, from Alexandria via LeMat-Bulk.

Cell lengths 7.3897, 12.7946, 7.7967 Å; angles 90.00, 90.06, 90.00 degrees
Space group C2 (No. 5)
Inequivalent atoms, fractional coordinates:
Ba: 0.0000 0.0000 0.0000
Tc: 0.0000 0.3334 0.0000
Br: 0.0000 0.6666 0.5000
Cl: 0.1300 0.4639 0.8211
Cl: 0.1306 0.2030 0.8210
Cl: 0.2391 0.8332 0.8209

## Properties
Its total magnetic moment is 3.8 μB per formula unit. The calculation puts the energy at -3.85 eV/atom. The uncorrected formation energy is -1.07 eV/atom.

***

Entry 3:
The following is a PBE calculation of a relaxed structure of AlCd2Pb, from Alexandria via LeMat-Bulk.

Cell lengths 7.3462, 7.3462, 7.3462 Å; angles 90.00, 90.00, 90.00 degrees
Space group Fm-3m (No. 225)
Inequivalent atoms, fractional coordinates:
Al: 0.0000 0.0000 0.0000
Cd: 0.2500 0.2500 0.2500
Pb: 0.0000 0.0000 0.5000

## Properties
Its total magnetic moment is 0.0 μB per formula unit. The value obtained for the energy above the most stable polymorph in this dataset is 91 meV per atom. The calculation puts the energy at -2.12 eV/atom. Its energy of formation is 0.2026 eV per atom.

***

Entry 4:
The following is a PBE calculation of a relaxed structure of Dy5Sn4H, from Alexandria via LeMat-Bulk.

Cell lengths 9.5315, 9.5315, 6.1577 Å; angles 90.00, 90.00, 90.00 degrees
Space group I4 (No. 79)
Inequivalent atoms, fractional coordinates:
Dy: 0.0000 0.0000 0.0000
Dy: 0.0986 0.7166 0.5569
Sn: 0.0921 0.6973 0.0587
H: 0.0000 0.0000 0.6213

## Properties
Its total magnetic moment is 0.0 μB per formula unit. The calculation puts the energy at -4.67 eV/atom.

***

Entry 5:
The following is a PBE calculation of a relaxed structure of Y2TeOs2, from Alexandria via LeMat-Bulk.

Cell lengths 8.3430, 8.3430, 3.2173 Å; angles 90.00, 90.00, 90.00 degrees
Space group P4/mbm (No. 127)
Inequivalent atoms, fractional coordinates:
Y: 0.1438 0.3562 0.0000
Te: 0.0000 0.0000 0.0000
Os: 0.1534 0.6534 0.5000

## Properties
Its total magnetic moment is 0.6 μB per formula unit. The value obtained for the energy above the most stable polymorph in this dataset is 738 meV per atom. The calculation puts the energy at -7.25 eV/atom. The uncorrected formation energy is 0.45 eV/atom.